PuCo2HO6: relaxed, PBE with a Hubbard U.

Cell: 5.0700 5.2441 5.3804 Å, 98.55 104.17 118.30°
Last column: nearest neighbours and their distance in Å.
Positions (direct):
Pu (0.0000, 0.0000, 0.0000)  5 O 1.94-2.11
Co (0.3422, 0.6696, 0.0029)  6 O 1.91-1.98
Co (0.8342, 0.4681, 0.3780)  4 O 1.94-2.02
H (0.4463, 0.3190, 0.7579)  1 O 0.99
O (0.1232, 0.4352, 0.2150)  2 Co 1.94-1.95, 1 Pu 2.11
O (0.2453, 0.2986, 0.7658)  1 H 0.99
O (0.4199, 0.0563, 0.2174)  2 Co 1.98-2.02, 1 Pu 2.02
O (0.5730, 0.8994, 0.7968)  1 Co 1.94, 1 Pu 1.94
O (0.7462, 0.7480, 0.2230)  2 Co 1.91-1.96, 1 Pu 2.11
O (0.9457, 0.6068, 0.7660)  2 Co 1.94-1.95, 1 Pu 2.11

Calculated values
Uncorrected energy: -72.9 eV per formula unit
Volume: 116.1 Å³ per cell
Symmetry: P1 (1)
Total magnetic moment: 0.500 μB per atom